# 1
First-principles (GGA-PBE) data for a relaxed YPO4F crystal, as listed in the Alexandria database.

Output
- SG = No. 12
- DOS at the Fermi energy (states/eV/cell) = 4.9

```
YPO4F
1.0
4.594 -3.529 0.000
4.594 3.529 0.000
-1.818 0.000 6.252
Y P O F
2 2 8 2
direct
0.206 0.206 0.114
0.794 0.794 0.886
0.355 0.355 0.729
0.645 0.645 0.271
0.131 0.477 0.839
0.283 0.283 0.488
0.471 0.471 0.228
0.477 0.131 0.839
0.523 0.869 0.161
0.529 0.529 0.772
0.717 0.717 0.512
0.869 0.523 0.161
0.016 0.016 0.814
0.984 0.984 0.186
```



# 2
First-principles (GGA-PBE) data for a relaxed YPO2F crystal, as listed in the Alexandria database.

Output
- SG = No. 123
- DOS at the Fermi energy (states/eV/cell) = 1.7

```
YPO2F
1.0
4.455 0.000 0.000
0.000 4.455 0.000
0.000 0.000 4.232
Y P O F
1 1 2 1
direct
0.000 0.000 0.000
0.500 0.500 0.500
0.000 0.500 0.000
0.500 0.000 0.000
0.000 0.000 0.500
```



# 3
First-principles (GGA-PBE) data for a relaxed YP2OF crystal, as listed in the Alexandria database.

Output
- SG = No. 123
- polymorph energy (0 for the lowest one) (meV per atom) = 0
- DOS at the Fermi energy (states/eV/cell) = 3.3

```
YP2OF
1.0
3.887 0.000 0.000
0.000 3.887 0.000
0.000 0.000 5.107
Y P O F
1 2 1 1
direct
0.000 0.000 0.000
0.000 0.500 0.500
0.500 0.000 0.500
0.500 0.500 0.000
0.500 0.500 0.500
```



# 4
First-principles (GGA-PBE) data for a relaxed YPO2F crystal, as listed in the Alexandria database.

Output
- SG = No. 123
- DOS at the Fermi energy (states/eV/cell) = 3.4

```
YPO2F
1.0
4.390 0.000 0.000
0.000 4.390 0.000
0.000 0.000 3.446
Y P O F
1 1 2 1
direct
0.000 0.000 0.000
0.500 0.500 0.000
0.000 0.500 0.500
0.500 0.000 0.500
0.500 0.500 0.500
```



# 5
First-principles (GGA-PBE) data for a relaxed YPO2F crystal, as listed in the Alexandria database.

Output
- SG = No. 123
- DOS at the Fermi energy (states/eV/cell) = 2.2

```
YPO2F
1.0
3.886 0.000 0.000
0.000 3.886 0.000
0.000 0.000 4.289
Y P O F
1 1 2 1
direct
0.000 0.000 0.000
0.500 0.500 0.500
0.000 0.500 0.500
0.500 0.000 0.500
0.500 0.500 0.000
```



# 6
First-principles (GGA-PBE) data for a relaxed YPO2F crystal, as listed in the Alexandria database.

Output
- SG = No. 123
- DOS at the Fermi energy (states/eV/cell) = 3.8

```
YPO2F
1.0
4.230 0.000 0.000
0.000 4.230 0.000
0.000 0.000 6.165
Y P O F
1 1 2 1
direct
0.000 0.000 0.000
0.000 0.000 0.500
0.000 0.500 0.000
0.500 0.000 0.000
0.500 0.500 0.500
```



# 7
First-principles (GGA-PBE) data for a relaxed Y2POF crystal, as listed in the Alexandria database.

Output
- SG = No. 123
- DOS at the Fermi energy (states/eV/cell) = 3.4

```
Y2POF
1.0
4.726 0.000 0.000
0.000 4.726 0.000
0.000 0.000 3.893
Y P O F
2 1 1 1
direct
0.000 0.500 0.000
0.500 0.000 0.000
0.000 0.000 0.500
0.000 0.000 0.000
0.500 0.500 0.500
```



# 8
First-principles (GGA-PBE) data for a relaxed YP2OF crystal, as listed in the Alexandria database.

Output
- SG = No. 123
- polymorph energy (0 for the lowest one) (meV per atom) = 551
- DOS at the Fermi energy (states/eV/cell) = 6.6

```
YP2OF
1.0
5.493 0.000 0.000
0.000 5.493 0.000
0.000 0.000 4.225
Y P O F
1 2 1 1
direct
0.000 0.000 0.000
0.000 0.500 0.000
0.500 0.000 0.000
0.000 0.000 0.500
0.500 0.500 0.500
```



# 9
First-principles (GGA-PBE) data for a relaxed Zn2PO4F crystal, as listed in the Alexandria database.

Output
- SG = No. 42

```
Zn2PO4F
1.0
0.000 3.529 4.385
3.039 0.000 4.385
3.039 3.529 0.000
Zn P O F
2 1 4 1
direct
0.000 0.000 0.500
0.500 0.500 0.000
0.256 0.256 0.744
0.194 0.539 0.461
0.377 0.945 0.623
0.539 0.194 0.806
0.945 0.377 0.055
0.925 0.925 0.075
```



# 10
First-principles (GGA-PBE) data for a relaxed PaO2F crystal, as listed in the Alexandria database.

Output
- SG = No. 123
- polymorph energy (0 for the lowest one) (meV per atom) = 792
- DOS at the Fermi energy (states/eV/cell) = 0.8

```
PaO2F
1.0
3.605 0.000 0.000
0.000 3.605 0.000
0.000 0.000 3.295
Pa O F
1 2 1
direct
0.000 0.000 0.000
0.000 0.500 0.500
0.500 0.000 0.500
0.500 0.500 0.000
```



# 11
First-principles (GGA-PBE) data for a relaxed Pa2O2F7 crystal, as listed in the Alexandria database.

Output
- SG = No. 71
- DOS at the Fermi energy (states/eV/cell) = 4.2

```
Pa2O2F7
1.0
-2.304 4.508 5.410
2.304 -4.508 5.410
2.304 4.508 -5.410
Pa O F
2 2 7
direct
0.245 0.000 0.245
0.755 0.000 0.755
0.070 0.070 0.000
0.930 0.930 0.000
0.098 0.813 0.285
0.254 0.500 0.754
0.472 0.187 0.285
0.500 0.000 0.500
0.528 0.813 0.715
0.746 0.500 0.246
0.902 0.187 0.715
```



# 12
First-principles (GGA-PBE) data for a relaxed PaO2F crystal, as listed in the Alexandria database.

Output
- SG = No. 225
- polymorph energy (0 for the lowest one) (meV per atom) = 219
- DOS at the Fermi energy (states/eV/cell) = 0.0

```
PaO2F
1.0
0.000 2.755 2.755
2.755 0.000 2.755
2.755 2.755 0.000
Pa O F
1 2 1
direct
0.000 0.000 0.000
0.250 0.250 0.250
0.750 0.750 0.750
0.500 0.500 0.500
```



# 13
First-principles (GGA-PBE) data for a relaxed Pa2O3F4 crystal, as listed in the Alexandria database.

Output
- SG = No. 12
- DOS at the Fermi energy (states/eV/cell) = 0.0

```
Pa2O3F4
1.0
6.359 -1.753 0.000
6.359 1.753 0.000
-0.885 0.000 6.122
Pa O F
2 3 4
direct
0.105 0.105 0.358
0.895 0.895 0.642
0.369 0.369 0.808
0.500 0.500 0.500
0.631 0.631 0.192
0.052 0.052 0.812
0.293 0.293 0.387
0.707 0.707 0.613
0.948 0.948 0.188
```



# 14
First-principles (GGA-PBE) data for a relaxed PaO2F crystal, as listed in the Alexandria database.

Output
- SG = No. 141
- polymorph energy (0 for the lowest one) (meV per atom) = 43
- DOS at the Fermi energy (states/eV/cell) = 0.0

```
PaO2F
1.0
-4.083 4.083 2.310
4.083 -4.083 2.310
4.083 4.083 -2.310
Pa O F
2 4 2
direct
0.375 0.625 0.750
0.625 0.375 0.250
0.000 0.500 0.500
0.500 0.000 0.000
0.500 0.500 0.000
0.500 0.500 0.500
0.125 0.875 0.250
0.875 0.125 0.750
```



# 15
First-principles (GGA-PBE) data for a relaxed Pa4O7F3 crystal, as listed in the Alexandria database.

Output
- SG = No. 2
- DOS at the Fermi energy (states/eV/cell) = 13.6

```
Pa4O7F3
1.0
4.338 0.000 0.000
-0.760 6.393 0.000
-1.457 -2.504 8.411
Pa O F
4 7 3
direct
0.055 0.004 0.265
0.317 0.498 0.669
0.683 0.502 0.331
0.945 0.996 0.735
0.000 0.000 0.500
0.178 0.388 0.388
0.179 0.332 0.829
0.413 0.855 0.761
0.587 0.145 0.239
0.821 0.668 0.171
0.822 0.612 0.612
0.000 0.000 0.000
0.400 0.785 0.356
0.600 0.215 0.644
```



# 16
First-principles (GGA-PBE) data for a relaxed PaOF4 crystal, as listed in the Alexandria database.

Output
- SG = No. 140
- DOS at the Fermi energy (states/eV/cell) = 9.9

```
PaOF4
1.0
-2.844 2.844 4.660
2.844 -2.844 4.660
2.844 2.844 -4.660
Pa O F
2 2 8
direct
0.250 0.250 0.000
0.750 0.750 0.000
0.000 0.000 0.000
0.500 0.500 0.000
0.019 0.519 0.833
0.186 0.019 0.500
0.314 0.814 0.833
0.481 0.314 0.500
0.519 0.686 0.500
0.686 0.186 0.167
0.814 0.981 0.500
0.981 0.481 0.167
```



# 17
First-principles (GGA-PBE) data for a relaxed Pa2OF6 crystal, as listed in the Alexandria database.

Output
- SG = No. 2
- DOS at the Fermi energy (states/eV/cell) = 2.2

```
Pa2OF6
1.0
4.546 0.000 0.000
-0.836 4.490 0.000
-0.607 -0.579 7.994
Pa O F
2 1 6
direct
0.077 0.074 0.262
0.923 0.926 0.738
0.000 0.000 0.000
0.148 0.582 0.247
0.229 0.207 0.536
0.418 0.843 0.762
0.582 0.157 0.238
0.771 0.793 0.464
0.852 0.418 0.753
```



# 18
First-principles (GGA-PBE) data for a relaxed Pa3O5F3 crystal, as listed in the Alexandria database.

Output
- SG = No. 189
- DOS at the Fermi energy (states/eV/cell) = 5.9

```
Pa3O5F3
1.0
6.940 0.000 0.000
-3.470 6.010 0.000
0.000 0.000 4.637
Pa O F
3 5 3
direct
0.000 0.352 0.000
0.352 0.000 0.000
0.648 0.648 0.000
0.000 0.748 0.000
0.252 0.252 0.000
0.333 0.667 0.000
0.667 0.333 0.000
0.748 0.000 0.000
0.000 0.362 0.500
0.362 0.000 0.500
0.638 0.638 0.500
```



# 19
First-principles (GGA-PBE) data for a relaxed Pa3O7F crystal, as listed in the Alexandria database.

Output
- SG = No. 65
- DOS at the Fermi energy (states/eV/cell) = 0.0

```
Pa3O7F
1.0
3.526 -6.056 0.000
3.526 6.056 0.000
0.000 0.000 4.214
Pa O F
3 7 1
direct
0.000 0.000 0.000
0.305 0.695 0.000
0.695 0.305 0.000
0.000 0.000 0.500
0.040 0.336 0.000
0.309 0.691 0.500
0.336 0.040 0.000
0.664 0.960 0.000
0.691 0.309 0.500
0.960 0.664 0.000
0.500 0.500 0.000
```



# 20
First-principles (GGA-PBE) data for a relaxed PaO2F crystal, as listed in the Alexandria database.

Output
- SG = No. 156
- polymorph energy (0 for the lowest one) (meV per atom) = 0
- DOS at the Fermi energy (states/eV/cell) = 0.0

```
PaO2F
1.0
4.005 0.000 0.000
-2.003 3.469 0.000
0.000 0.000 4.192
Pa O F
1 2 1
direct
0.000 0.000 0.000
0.000 0.000 0.497
0.667 0.333 0.064
0.333 0.667 0.855
```



Which uncorrected energy belongs to each record? In order, -105.1, -30.5, -26.8, -26.9, -31.1, -27.1, -32.9, -24.1, -43.4, -32.6, -78.4, -34.8, -72.6, -71.1, -126.4, -80.4, -68.7, -98.8, -105.4, -35.7 eV per cell.
Which size of the total moment belongs to each record? In order, 1.028, 0.989, 0.402, 0.579, 0.000, 2.343, 0.004, 1.332, 0.000, 0.051, 1.036, 0.000, 0.038, 0.000, 3.048, 1.000, 2.005, 2.006, 0.000, 0.000 μB per formula unit.
Which formation energy (no corrections) belongs to each record? In order, -2.712, -1.375, -0.542, -0.641, -1.482, -0.680, -1.541, 0.009, -1.711, -2.818, -3.307, -3.391, -3.469, -3.568, -3.432, -3.045, -3.724, -3.625, -3.664, -3.611 eV per atom.